A plane-wave DFT calculation with PBE was carried out for a relaxed NdRhS crystal.

Computed properties:
calculated total energy	-20.034	eV/cell
formation energy from raw total energies	-1.262	eV/atom

a b c (Å): 3.764 4.214 4.214
angles (deg): 120.00 90.00 90.00
Element x y z (fractional)
Rh: 0.167 0.333 0.667
S: 0.166 0.000 0.000
Nd: 0.667 0.667 0.333